Compound: CsZrZn2F8
Source: the Alexandria database
Functional: GGA-PBE
Structure: relaxed

Cell lengths 9.1791, 9.1791, 9.1791 Å; angles 35.14, 35.14, 35.14 degrees
Element x y z (fractional)
1 Cs 0.0000 0.0000 0.0000
2 Zr 0.5000 0.5000 0.5000
3 Zn 0.2458 0.2458 0.2458
4 Zn 0.7542 0.7542 0.7542
5 F 0.1356 0.7468 0.4736
6 F 0.2532 0.5264 0.8644
7 F 0.3181 0.3181 0.3181
8 F 0.4736 0.1356 0.7468
9 F 0.5264 0.8644 0.2532
10 F 0.6819 0.6819 0.6819
11 F 0.7468 0.4736 0.1356
12 F 0.8644 0.2532 0.5264

Calculated values
Energy relative to the elements, uncorrected: -2.670 eV per atom
Raw total energy: -59.0 eV for the cell shown
Crystal system: trigonal